[1]
Compound: LiFePd2
Source: the Alexandria database
Functional: PBE
Structure: relaxed

Cell lengths 8.6414, 8.6414, 8.6414 Å; angles 18.50, 18.50, 18.50 degrees
Closest atoms and distances in Å follow each position.
Atoms (fractional coordinates):
Li (0.0000, 0.0000, 0.0000)  6 Pd 2.67, 6 Li 2.78
Fe (0.5000, 0.5000, 0.5000)  6 Pd 2.65, 6 Fe 2.78
Pd (0.2493, 0.2493, 0.2493)  3 Fe 2.65, 3 Li 2.67, 6 Pd 2.78
Pd (0.7507, 0.7507, 0.7507)  3 Fe 2.65, 3 Li 2.67, 6 Pd 2.78

Computed properties:
As for the raw total energy: -5.36 eV per atom. As for the density of states at the Fermi level: 3.1 states/eV/cell. The magnetization comes out at 3.4 μB/cell. Its space-group type is No. 166. For the volume, the calculation gives 14.2 Å³/atom. As for the energy of formation: -0.1685 eV per atom.

[2]
Compound: NbTlZn2Ni
Source: the Alexandria database
Functional: PBE
Structure: relaxed

Cell lengths 4.8722, 4.8722, 4.7256 Å; angles 90.00, 90.00, 90.00 degrees
Closest atoms and distances in Å follow each position.
Atoms (fractional coordinates):
Nb (0.0000, 0.0000, 0.0000)  8 Zn 3.39, 4 Ni 3.45
Tl (0.5000, 0.5000, 0.5000)  2 Ni 2.36, 4 Zn 2.44
Zn (0.0000, 0.5000, 0.5000)  2 Tl 2.44
Zn (0.5000, 0.0000, 0.5000)  2 Tl 2.44
Ni (0.5000, 0.5000, 0.0000)  2 Tl 2.36

Computed properties:
As for the raw total energy: -2.80 eV per atom. As for the density of states at the Fermi level: 3.7 states/eV/cell. Its energy above the lowest structure with this stoichiometry is 0.0 meV/atom. The magnetization comes out at 2.1 μB/cell. Its space-group type is No. 123. For the volume, the calculation gives 22.4 Å³/atom. As for the energy of formation: 1.3497 eV per atom.

[3]
Compound: Ca2La2Ag
Source: the Alexandria database
Functional: PBE
Structure: relaxed

Cell lengths 7.7156, 7.7156, 5.9611 Å; angles 90.00, 90.00, 90.00 degrees
Closest atoms and distances in Å follow each position.
Atoms (fractional coordinates):
Ca (0.1547, 0.3453, 0.0000)  2 Ag 2.92
Ca (0.3453, 0.8453, 0.0000)  2 Ag 2.92
Ca (0.6547, 0.1547, 0.0000)  2 Ag 2.92
Ca (0.8453, 0.6547, 0.0000)  2 Ag 2.92
La (0.1604, 0.6604, 0.5000)  1 La 3.50, 6 Ca 3.60-3.85
La (0.3396, 0.1604, 0.5000)  1 La 3.50, 6 Ca 3.60-3.85
La (0.6604, 0.8396, 0.5000)  1 La 3.50, 6 Ca 3.60-3.85
La (0.8396, 0.3396, 0.5000)  1 La 3.50, 6 Ca 3.60-3.85
Ag (0.0000, 0.0000, 0.0000)  4 Ca 2.92
Ag (0.5000, 0.5000, 0.0000)  4 Ca 2.92

Computed properties:
As for the raw total energy: -3.22 eV per atom. As for the density of states at the Fermi level: 12.9 states/eV/cell. Its energy above the lowest structure with this stoichiometry is 0.0 meV/atom. The magnetization comes out at 0.0 μB/cell. Its space-group type is No. 127. For the volume, the calculation gives 35.5 Å³/atom. As for the energy of formation: 0.1219 eV per atom.

[4]
Compound: RbCa2InH
Source: the Alexandria database
Functional: PBE
Structure: relaxed

Cell lengths 5.3270, 5.3270, 10.3811 Å; angles 90.00, 90.00, 90.00 degrees
Closest atoms and distances in Å follow each position.
Atoms (fractional coordinates):
Rb (0.0000, 0.0000, 0.0000)  4 In 3.77
Ca (0.0000, 0.5000, 0.5000)  2 H 2.66
Ca (0.5000, 0.0000, 0.5000)  2 H 2.66
In (0.5000, 0.5000, 0.0000)  4 Rb 3.77
H (0.5000, 0.5000, 0.5000)  4 Ca 2.66

Computed properties:
As for the raw total energy: -1.81 eV per atom. As for the density of states at the Fermi level: 7.7 states/eV/cell. The magnetization comes out at 0.0 μB/cell. Its space-group type is No. 123. For the volume, the calculation gives 58.9 Å³/atom.

[5]
Compound: NaAg2Au2
Source: the Alexandria database
Functional: PBE
Structure: relaxed

Cell lengths 13.7589, 13.7589, 13.7589 Å; angles 163.26, 163.26, 23.76 degrees
Closest atoms and distances in Å follow each position.
Atoms (fractional coordinates):
Na (0.1237, 0.1237, 0.0000)  4 Au 3.12, 4 Ag 3.15
Na (0.8763, 0.8763, 0.0000)  4 Au 3.12, 4 Ag 3.15
Ag (0.0000, 0.5000, 0.5000)  4 Ag 2.83, 4 Au 2.85
Ag (0.3248, 0.3248, 0.0000)  5 Au 2.69-2.84
Ag (0.5000, 0.0000, 0.5000)  4 Ag 2.83, 4 Au 2.85
Ag (0.6752, 0.6752, 0.0000)  5 Au 2.69-2.84
Au (0.2500, 0.7500, 0.5000)  4 Au 2.83, 4 Ag 2.84
Au (0.4245, 0.4245, 0.0000)  5 Ag 2.69-2.85
Au (0.5755, 0.5755, 0.0000)  5 Ag 2.69-2.85
Au (0.7500, 0.2500, 0.5000)  4 Au 2.83, 4 Ag 2.84

Computed properties:
As for the raw total energy: -2.77 eV per atom. As for the density of states at the Fermi level: 1.8 states/eV/cell. Its energy above the lowest structure with this stoichiometry is 84.3 meV/atom. The magnetization comes out at 0.0 μB/cell. Its space-group type is No. 139. For the volume, the calculation gives 21.6 Å³/atom. As for the energy of formation: -0.0500 eV per atom.

[6]
Compound: PrSm2Mg9
Source: the Alexandria database
Functional: PBE
Structure: relaxed

Cell lengths 10.5085, 10.5085, 10.5085 Å; angles 33.59, 33.59, 33.59 degrees
Closest atoms and distances in Å follow each position.
Atoms (fractional coordinates):
Pr (0.0000, 0.0000, 0.0000)  6 Mg 3.51
Sm (0.1437, 0.1437, 0.1437)  12 Mg 3.52-3.58, 3 Sm 3.76
Sm (0.8563, 0.8563, 0.8563)  12 Mg 3.52-3.58, 3 Sm 3.76
Mg (0.0802, 0.5860, 0.5860)  7 Mg 3.00-3.07
Mg (0.3340, 0.3340, 0.3340)  6 Mg 3.05-3.06
Mg (0.4140, 0.4140, 0.9198)  7 Mg 3.00-3.07
Mg (0.4140, 0.9198, 0.4140)  7 Mg 3.00-3.07
Mg (0.5000, 0.5000, 0.5000)  6 Mg 3.03
Mg (0.5860, 0.0802, 0.5860)  7 Mg 3.00-3.07
Mg (0.5860, 0.5860, 0.0802)  7 Mg 3.00-3.07
Mg (0.6660, 0.6660, 0.6660)  6 Mg 3.05-3.06
Mg (0.9198, 0.4140, 0.4140)  7 Mg 3.00-3.07

Computed properties:
As for the raw total energy: -2.45 eV per atom. As for the density of states at the Fermi level: 12.1 states/eV/cell. The magnetization comes out at 0.0 μB/cell. Its space-group type is No. 166. For the volume, the calculation gives 26.4 Å³/atom. As for the energy of formation: -0.0677 eV per atom.

[7]
Compound: Ac3PrY
Source: the Alexandria database
Functional: PBE
Structure: relaxed

Cell lengths 10.1685, 10.1685, 10.8554 Å; angles 104.69, 104.69, 21.96 degrees
Closest atoms and distances in Å follow each position.
Atoms (fractional coordinates):
Ac (0.0022, 0.0022, 0.2395)  4 Pr 3.74-3.86, 1 Y 3.84, 7 Ac 3.87-4.02
Ac (0.2022, 0.2022, 0.8475)  3 Pr 3.75-3.86, 2 Y 3.78, 7 Ac 3.87-3.94
Ac (0.3971, 0.3971, 0.4547)  3 Y 3.76-3.78, 9 Ac 3.87-4.02
Ac (0.6029, 0.6029, 0.5453)  3 Y 3.76-3.78, 9 Ac 3.87-4.02
Ac (0.7978, 0.7978, 0.1525)  3 Pr 3.75-3.86, 2 Y 3.78, 7 Ac 3.87-3.94
Ac (0.9978, 0.9978, 0.7605)  4 Pr 3.74-3.86, 1 Y 3.84, 7 Ac 3.87-4.02
Pr (0.3965, 0.3965, 0.9463)  7 Ac 3.74-3.86, 2 Y 3.84, 3 Pr 3.87-4.00
Pr (0.6035, 0.6035, 0.0537)  7 Ac 3.74-3.86, 2 Y 3.84, 3 Pr 3.87-4.00
Y (0.2012, 0.2012, 0.3518)  6 Ac 3.76-3.84, 4 Y 3.83-3.87, 2 Pr 3.84
Y (0.7988, 0.7988, 0.6482)  6 Ac 3.76-3.84, 4 Y 3.83-3.87, 2 Pr 3.84

Computed properties:
As for the raw total energy: -4.67 eV per atom. As for the density of states at the Fermi level: 17.6 states/eV/cell. Its energy above the lowest structure with this stoichiometry is 0.0 meV/atom. The magnetization comes out at 0.0 μB/cell. Its space-group type is No. 12. For the volume, the calculation gives 40.6 Å³/atom. As for the energy of formation: 0.0395 eV per atom.

[8]
Compound: Sc7C2Cl10
Source: the Alexandria database
Functional: PBE
Structure: relaxed

Cell lengths 9.7008, 9.7008, 12.1762 Å; angles 100.16, 100.16, 20.86 degrees
Closest atoms and distances in Å follow each position.
Atoms (fractional coordinates):
Sc (0.0000, 0.0000, 0.0000)  6 Cl 2.53-2.58
Sc (0.1827, 0.1827, 0.5095)  3 C 2.34-2.39
Sc (0.3035, 0.3035, 0.7169)  2 C 2.30, 1 Cl 2.51
Sc (0.3377, 0.3377, 0.2698)  1 C 2.18
Sc (0.6623, 0.6623, 0.7302)  1 C 2.18
Sc (0.6965, 0.6965, 0.2831)  2 C 2.30, 1 Cl 2.51
Sc (0.8173, 0.8173, 0.4905)  3 C 2.34-2.39
C (0.2578, 0.2578, 0.3768)  6 Sc 2.18-2.39
C (0.7422, 0.7422, 0.6232)  6 Sc 2.18-2.39
Cl (0.0785, 0.0785, 0.6323)  3 Sc 2.53-2.69
Cl (0.1172, 0.1172, 0.1433)  3 Sc 2.58-2.71
Cl (0.2209, 0.2209, 0.8684)  3 Sc 2.55-2.63
Cl (0.4029, 0.4029, 0.6069)  3 Sc 2.51-2.63
Cl (0.4479, 0.4479, 0.1119)  2 Sc 2.53
Cl (0.5521, 0.5521, 0.8881)  2 Sc 2.53
Cl (0.5971, 0.5971, 0.3931)  3 Sc 2.51-2.63
Cl (0.7791, 0.7791, 0.1316)  3 Sc 2.55-2.63
Cl (0.8828, 0.8828, 0.8567)  3 Sc 2.58-2.71
Cl (0.9215, 0.9215, 0.3677)  3 Sc 2.53-2.69

Computed properties:
As for the raw total energy: -6.04 eV per atom. As for the density of states at the Fermi level: 4.3 states/eV/cell. The formation energy (no corrections) comes out at -40.71 kcal/mol of atoms. The magnetization comes out at 0.2 μB/cell. Its space-group type is No. 12. For the volume, the calculation gives 21.1 Å³/atom.

The highest volume belongs to which entry?
RbCa2InH

Look up the volume of the fifth one.
21.6 Å³/atom